# TeIrF2

An optimized crystal structure of TeIrF2 (PBEsol, Alexandria via LeMat-Bulk).

Cell and atoms, written as CIF:
```
data_TeIrF2
_chemical_formula_sum 'Te4 Ir4 F8'
_cell_length_a 6.073
_cell_length_b 6.073
_cell_length_c 6.073
_cell_angle_alpha 90.00
_cell_angle_beta 90.00
_cell_angle_gamma 90.00
_space_group_name_H-M_alt 'F m -3 m'
_space_group_IT_number 225
_space_group_name_Hall '-F 4 2 3'
loop_
_atom_site_label
_atom_site_fract_x
_atom_site_fract_y
_atom_site_fract_z
_atom_site_occupancy
Te1 0.000 0.000 0.000 1
Ir1 0.000 0.000 0.500 1
F1 0.250 0.250 0.250 1
```

Results
For the total energy, the calculation gives -0.30563 Ry per atom. Its total magnetic moment is 1.2 μB/f.u. Its volume is 14.00 Å³/atom.

---

# TlIrF2

An optimized crystal structure of TlIrF2 (PBEsol, Alexandria via LeMat-Bulk).

Cell and atoms, written as CIF:
```
data_TlIrF2
_chemical_formula_sum 'Tl4 Ir4 F8'
_cell_length_a 6.929
_cell_length_b 6.929
_cell_length_c 5.328
_cell_angle_alpha 90.00
_cell_angle_beta 90.00
_cell_angle_gamma 90.00
_space_group_name_H-M_alt 'I -4 2 d'
_space_group_IT_number 122
_space_group_name_Hall 'I -4 2bw'
loop_
_atom_site_label
_atom_site_fract_x
_atom_site_fract_y
_atom_site_fract_z
_atom_site_occupancy
Tl1 0.000 0.000 0.000 1
Ir1 0.000 0.000 0.500 1
F1 0.162 0.250 0.625 1
```

Results
For the total energy, the calculation gives -0.32913 Ry per atom. Its total magnetic moment is 0.0 μB/f.u. Its volume is 15.99 Å³/atom.

---

# YIrF2

An optimized crystal structure of YIrF2 (PBEsol, Alexandria via LeMat-Bulk).

Cell and atoms, written as CIF:
```
data_YIrF2
_chemical_formula_sum 'Y3 Ir3 F6'
_cell_length_a 2.9285
_cell_length_b 2.9285
_cell_length_c 22.2916
_cell_angle_alpha 90.00
_cell_angle_beta 90.00
_cell_angle_gamma 120.00
_space_group_name_H-M_alt 'R -3 m'
_space_group_IT_number 166
_space_group_name_Hall '-R 3 2"'
loop_
_atom_site_label
_atom_site_fract_x
_atom_site_fract_y
_atom_site_fract_z
_atom_site_occupancy
Y1 0.0000 0.0000 0.0000 1
Ir1 0.0000 0.0000 0.5000 1
F1 0.0000 0.0000 0.4063 1
```

Results
For the total energy, the calculation gives -0.47419 Ry per atom. Its total magnetic moment is 0.0 μB/f.u. Its volume is 13.80 Å³/atom.

---

# ZnIrF2

An optimized crystal structure of ZnIrF2 (PBEsol, Alexandria via LeMat-Bulk).

Cell and atoms, written as CIF:
```
data_ZnIrF2
_chemical_formula_sum 'Zn3 Ir3 F6'
_cell_length_a 2.6872
_cell_length_b 2.6872
_cell_length_c 24.2982
_cell_angle_alpha 90.00
_cell_angle_beta 90.00
_cell_angle_gamma 120.00
_space_group_name_H-M_alt 'R -3 m'
_space_group_IT_number 166
_space_group_name_Hall '-R 3 2"'
loop_
_atom_site_label
_atom_site_fract_x
_atom_site_fract_y
_atom_site_fract_z
_atom_site_occupancy
Zn1 0.0000 0.0000 0.0000 1
Ir1 0.0000 0.0000 0.5000 1
F1 0.0000 0.0000 0.0762 1
```

Results
For the total energy, the calculation gives -0.30769 Ry per atom. Its total magnetic moment is 1.4 μB/f.u. Its volume is 12.66 Å³/atom.

---

# ZrIrF2

An optimized crystal structure of ZrIrF2 (PBEsol, Alexandria via LeMat-Bulk).

Cell and atoms, written as CIF:
```
data_ZrIrF2
_chemical_formula_sum 'Zr3 Ir3 F6'
_cell_length_a 2.7463
_cell_length_b 2.7463
_cell_length_c 29.4330
_cell_angle_alpha 90.00
_cell_angle_beta 90.00
_cell_angle_gamma 120.00
_space_group_name_H-M_alt 'R -3 m'
_space_group_IT_number 166
_space_group_name_Hall '-R 3 2"'
loop_
_atom_site_label
_atom_site_fract_x
_atom_site_fract_y
_atom_site_fract_z
_atom_site_occupancy
Zr1 0.0000 0.0000 0.0000 1
Ir1 0.0000 0.0000 0.5000 1
F1 0.0000 0.0000 0.3848 1
```

Results
For the total energy, the calculation gives -0.52159 Ry per atom. Its total magnetic moment is 1.0 μB/f.u. Its volume is 16.02 Å³/atom.

---

# ZrIr2F2

An optimized crystal structure of ZrIr2F2 (PBEsol, Alexandria via LeMat-Bulk).

Cell and atoms, written as CIF:
```
data_ZrIr2F2
_chemical_formula_sum 'Zr2 Ir4 F4'
_cell_length_a 3.507
_cell_length_b 3.507
_cell_length_c 11.535
_cell_angle_alpha 90.00
_cell_angle_beta 90.00
_cell_angle_gamma 90.00
_space_group_name_H-M_alt 'I 4/m m m'
_space_group_IT_number 139
_space_group_name_Hall '-I 4 2'
loop_
_atom_site_label
_atom_site_fract_x
_atom_site_fract_y
_atom_site_fract_z
_atom_site_occupancy
Zr1 0.000 0.000 0.000 1
Ir1 0.000 0.000 0.392 1
F1 0.000 0.500 0.250 1
```

Results
For the total energy, the calculation gives -0.52706 Ry per atom. Its total magnetic moment is 1.8 μB/f.u. Its volume is 14.18 Å³/atom.

---

# KF2

An optimized crystal structure of KF2 (PBEsol, Alexandria via LeMat-Bulk).

Cell and atoms, written as CIF:
```
data_KF2
_chemical_formula_sum 'K2 F4'
_cell_length_a 4.957
_cell_length_b 4.957
_cell_length_c 4.923
_cell_angle_alpha 90.00
_cell_angle_beta 90.00
_cell_angle_gamma 90.00
_space_group_name_H-M_alt 'P 42/m n m'
_space_group_IT_number 136
_space_group_name_Hall '-P 4n 2n'
loop_
_atom_site_label
_atom_site_fract_x
_atom_site_fract_y
_atom_site_fract_z
_atom_site_occupancy
K1 0.000 0.000 0.000 1
F1 0.138 0.138 0.500 1
```

Results
For the total energy, the calculation gives -0.25455 Ry per atom. Its total magnetic moment is 1.0 μB/f.u. Its volume is 20.16 Å³/atom.

---

# KF

An optimized crystal structure of KF (PBEsol, Alexandria via LeMat-Bulk).

Cell and atoms, written as CIF:
```
data_KF
_chemical_formula_sum 'K4 F4'
_cell_length_a 5.300
_cell_length_b 5.300
_cell_length_c 5.300
_cell_angle_alpha 90.00
_cell_angle_beta 90.00
_cell_angle_gamma 90.00
_space_group_name_H-M_alt 'F m -3 m'
_space_group_IT_number 225
_space_group_name_Hall '-F 4 2 3'
loop_
_atom_site_label
_atom_site_fract_x
_atom_site_fract_y
_atom_site_fract_z
_atom_site_occupancy
K1 0.000 0.000 0.000 1
F1 0.000 0.000 0.500 1
```

Results
For the total energy, the calculation gives -0.31295 Ry per atom. Its total magnetic moment is 0.1 μB/f.u. Its volume is 18.61 Å³/atom.

---

# KLa2F

An optimized crystal structure of KLa2F (PBEsol, Alexandria via LeMat-Bulk).

Cell and atoms, written as CIF:
```
data_KLa2F
_chemical_formula_sum 'K4 La8 F4'
_cell_length_a 7.851
_cell_length_b 7.851
_cell_length_c 7.851
_cell_angle_alpha 90.00
_cell_angle_beta 90.00
_cell_angle_gamma 90.00
_space_group_name_H-M_alt 'F m -3 m'
_space_group_IT_number 225
_space_group_name_Hall '-F 4 2 3'
loop_
_atom_site_label
_atom_site_fract_x
_atom_site_fract_y
_atom_site_fract_z
_atom_site_occupancy
K1 0.000 0.000 0.000 1
La1 0.250 0.250 0.250 1
F1 0.000 0.000 0.500 1
```

Results
For the total energy, the calculation gives -0.24966 Ry per atom. Its total magnetic moment is 0.0 μB/f.u. Its volume is 30.24 Å³/atom.

---

# KLaOF2

An optimized crystal structure of KLaOF2 (PBEsol, Alexandria via LeMat-Bulk).

Cell and atoms, written as CIF:
```
data_KLaOF2
_chemical_formula_sum 'K1 La1 O1 F2'
_cell_length_a 4.302
_cell_length_b 4.302
_cell_length_c 4.764
_cell_angle_alpha 90.00
_cell_angle_beta 90.00
_cell_angle_gamma 90.00
_space_group_name_H-M_alt 'P 4/m m m'
_space_group_IT_number 123
_space_group_name_Hall '-P 4 2'
loop_
_atom_site_label
_atom_site_fract_x
_atom_site_fract_y
_atom_site_fract_z
_atom_site_occupancy
K1 0.000 0.000 0.000 1
La1 0.500 0.500 0.500 1
O1 0.000 0.000 0.500 1
F1 0.000 0.500 0.000 1
```

Results
For the total energy, the calculation gives -0.37935 Ry per atom. Its total magnetic moment is 0.1 μB/f.u. Its volume is 17.63 Å³/atom.

---

# KLiF2

An optimized crystal structure of KLiF2 (PBEsol, Alexandria via LeMat-Bulk).

Cell and atoms, written as CIF:
```
data_KLiF2
_chemical_formula_sum 'K4 Li4 F8'
_cell_length_a 5.689
_cell_length_b 5.689
_cell_length_c 6.855
_cell_angle_alpha 90.00
_cell_angle_beta 90.00
_cell_angle_gamma 90.00
_space_group_name_H-M_alt 'I -4 2 d'
_space_group_IT_number 122
_space_group_name_Hall 'I -4 2bw'
loop_
_atom_site_label
_atom_site_fract_x
_atom_site_fract_y
_atom_site_fract_z
_atom_site_occupancy
K1 0.000 0.000 0.000 1
Li1 0.000 0.000 0.500 1
F1 0.150 0.750 0.625 1
```

Results
For the total energy, the calculation gives -0.33383 Ry per atom. Its total magnetic moment is 0.0 μB/f.u. Its volume is 13.86 Å³/atom.

---

# KLiF2

An optimized crystal structure of KLiF2 (PBEsol, Alexandria via LeMat-Bulk).

Cell and atoms, written as CIF:
```
data_KLiF2
_chemical_formula_sum 'K4 Li4 F8'
_cell_length_a 5.913
_cell_length_b 5.913
_cell_length_c 5.913
_cell_angle_alpha 90.00
_cell_angle_beta 90.00
_cell_angle_gamma 90.00
_space_group_name_H-M_alt 'F m -3 m'
_space_group_IT_number 225
_space_group_name_Hall '-F 4 2 3'
loop_
_atom_site_label
_atom_site_fract_x
_atom_site_fract_y
_atom_site_fract_z
_atom_site_occupancy
K1 0.000 0.000 0.000 1
Li1 0.000 0.000 0.500 1
F1 0.250 0.250 0.250 1
```

Results
For the total energy, the calculation gives -0.30985 Ry per atom. Its total magnetic moment is 0.0 μB/f.u. Its volume is 12.92 Å³/atom.

---

# K2LiNbF6

An optimized crystal structure of K2LiNbF6 (PBEsol, Alexandria via LeMat-Bulk).

Cell and atoms, written as CIF:
```
data_K2LiNbF6
_chemical_formula_sum 'K8 Li4 Nb4 F24'
_cell_length_a 8.213
_cell_length_b 8.213
_cell_length_c 8.213
_cell_angle_alpha 90.00
_cell_angle_beta 90.00
_cell_angle_gamma 90.00
_space_group_name_H-M_alt 'F m -3 m'
_space_group_IT_number 225
_space_group_name_Hall '-F 4 2 3'
loop_
_atom_site_label
_atom_site_fract_x
_atom_site_fract_y
_atom_site_fract_z
_atom_site_occupancy
K1 0.250 0.250 0.250 1
Li1 0.000 0.000 0.000 1
Nb1 0.000 0.000 0.500 1
F1 0.000 0.000 0.246 1
```

Results
For the total energy, the calculation gives -0.39975 Ry per atom. Its total magnetic moment is 2.0 μB/f.u. Its volume is 13.85 Å³/atom.

---

# K2LiNiF6

An optimized crystal structure of K2LiNiF6 (PBEsol, Alexandria via LeMat-Bulk).

Cell and atoms, written as CIF:
```
data_K2LiNiF6
_chemical_formula_sum 'K8 Li4 Ni4 F24'
_cell_length_a 7.858
_cell_length_b 7.858
_cell_length_c 7.858
_cell_angle_alpha 90.00
_cell_angle_beta 90.00
_cell_angle_gamma 90.00
_space_group_name_H-M_alt 'F m -3 m'
_space_group_IT_number 225
_space_group_name_Hall '-F 4 2 3'
loop_
_atom_site_label
_atom_site_fract_x
_atom_site_fract_y
_atom_site_fract_z
_atom_site_occupancy
K1 0.250 0.250 0.250 1
Li1 0.000 0.000 0.000 1
Ni1 0.000 0.000 0.500 1
F1 0.000 0.000 0.261 1
```

Results
For the total energy, the calculation gives -0.34037 Ry per atom. Its total magnetic moment is 1.0 μB/f.u. Its volume is 12.13 Å³/atom.